This record from Alexandria via LeMat-Bulk describes a relaxed structure of Sm2Ho7Th. The functional is PBE.

Cell: 9.935 9.935 4.962 Å, 90.00 90.00 129.09°
Positions (direct):
Sm (0.201, 0.799, 0.000)
Sm (0.799, 0.201, 0.000)
Ho (0.000, 0.000, 0.000)
Ho (0.215, 0.421, 0.000)
Ho (0.309, 0.691, 0.500)
Ho (0.421, 0.215, 0.000)
Ho (0.579, 0.785, 0.000)
Ho (0.691, 0.309, 0.500)
Ho (0.785, 0.579, 0.000)
Th (0.500, 0.500, 0.500)

Crystal system = orthorhombic
Volume = 380.2 Å³/f.u.
D(E_F) = 15.0 states/eV/cell
VASP energy = -41.83 eV for the cell shown